FeCuRh2: relaxed, GGA-PBE.

Cell: 4.5169 4.5169 4.6861 Å, 79.87 79.87 34.79°
Last column: nearest neighbours and their distance in Å.
Element x y z (fractional)
Fe (0.7500, 0.7500, 0.7500)  6 Rh 2.61-2.66, 2 Fe 2.70, 4 Cu 2.70
Rh (0.0031, 0.0031, 0.0001)  3 Fe 2.61-2.66, 3 Cu 2.61-2.65, 6 Rh 2.70-2.71
Rh (0.4969, 0.4969, 0.4998)  3 Fe 2.61-2.66, 3 Cu 2.61-2.65, 6 Rh 2.70-2.71
Cu (0.2500, 0.2500, 0.2500)  6 Rh 2.61-2.65, 2 Cu 2.70, 4 Fe 2.70

Properties
The formation enthalpy at 0 K is 12 meV per atom. For the density of states at the Fermi level, the calculation gives 4.29 states/eV/f.u. As for the total energy: -27.2 eV per cell.